(1)
Density functional theory data (GGA-PBE) for SbPdSF2 after structural relaxation.

Computed properties:
SG: P4/mmm
DFT total energy (eV per atom): -4.310

Lattice parameters (Å, degrees): 4.120 5.427 4.120 90.00 90.00 90.00
Positions (direct):
Sb 0.000 0.000 0.000
S 0.500 0.500 0.500
Pd 0.000 0.500 0.000
F 0.000 0.000 0.500
F 0.500 0.000 0.000

(2)
Density functional theory data (GGA-PBE) for SrPdSF2 after structural relaxation.

Computed properties:
SG: P4/mmm
DFT total energy (eV per atom): -4.274

Lattice parameters (Å, degrees): 4.090 6.951 4.090 90.00 90.00 90.00
Each line ends with the local moment (μB).
Positions (direct):
Sr 0.000 0.500 0.000  0.00
S 0.500 0.500 0.500  0.15
Pd 0.000 0.000 0.000  0.02
F 0.000 0.000 0.500  0.00
F 0.500 0.000 0.000  0.00

(3)
Density functional theory data (GGA-PBE) for Ti2PdSF after structural relaxation.

Computed properties:
SG: P4/mmm
DFT total energy (eV per atom): -5.385

Lattice parameters (Å, degrees): 4.902 4.046 4.902 90.00 90.00 90.00
Each line ends with the local moment (μB).
Positions (direct):
S 0.500 0.500 0.500  -0.06
F 0.000 0.500 0.000  0.03
Pd 0.000 0.000 0.000  -0.01
Ti 0.000 0.000 0.500  1.00
Ti 0.500 0.000 0.000  1.62

(4)
Density functional theory data (GGA-PBE) for SbPd3F after structural relaxation.

Computed properties:
SG: Pm-3m
Energy above the lowest structure with this stoichiometry (eV/f.u.): 0.00
DFT total energy (eV per atom): -4.329

Lattice parameters (Å, degrees): 4.430 4.430 4.430 90.00 90.00 90.00
Positions (direct):
Sb 0.500 0.500 0.500
Pd 0.000 0.500 0.000
Pd 0.000 0.000 0.500
Pd 0.500 0.000 0.000
F 0.000 0.000 0.000